[1]
Crystalline KRuPb2 at its relaxed geometry. Source: Alexandria via LeMat-Bulk, functional PBE.

abc: 3.280 6.262 11.205
angles: 90.00 90.00 90.00
Atoms (fractional coordinates):
1 K 0.000 0.000 0.000
2 K 0.500 0.500 0.500
3 Ru 0.000 0.000 0.500
4 Ru 0.500 0.500 0.000
5 Pb 0.000 0.500 0.197
6 Pb 0.000 0.500 0.803
7 Pb 0.500 0.000 0.303
8 Pb 0.500 0.000 0.697

ρ = 8.00 g/cm³
DOS at the Fermi energy = 0.716 states/eV/atom
Total magnetic moment = 1.0 Bohr magnetons per cell
Volume = 28.772 Å³/atom
E_form = 0.38 eV per atom


[2]
Crystalline Y2BeSi at its relaxed geometry. Source: Alexandria via LeMat-Bulk, functional PBE.

abc: 3.705 4.381 10.307
angles: 90.00 90.00 90.00
Atoms (fractional coordinates):
1 Y 0.000 0.000 0.000
2 Y 0.000 0.500 0.234
3 Y 0.500 0.000 0.734
4 Y 0.500 0.500 0.500
5 Be 0.000 0.500 0.802
6 Be 0.500 0.000 0.302
7 Si 0.000 0.000 0.433
8 Si 0.500 0.500 0.933

Energy relative to the elements, uncorrected = -339 meV/atom
ρ = 4.27 g/cm³
DOS at the Fermi energy = 0.525 states/eV/atom
Total magnetic moment = 0.0 Bohr magnetons per cell
Energy relative to the lowest polymorph listed for this composition = 0.148 eV per atom
Volume = 20.911 Å³/atom


[3]
Crystalline ScCoAg2 at its relaxed geometry. Source: Alexandria via LeMat-Bulk, functional PBE.

abc: 3.865 3.865 8.815
angles: 90.00 90.00 90.00
Atoms (fractional coordinates):
1 Sc 0.000 0.000 0.000
2 Sc 0.500 0.500 0.500
3 Co 0.000 0.000 0.500
4 Co 0.500 0.500 0.000
5 Ag 0.000 0.500 0.250
6 Ag 0.000 0.500 0.750
7 Ag 0.500 0.000 0.250
8 Ag 0.500 0.000 0.750

ρ = 8.06 g/cm³
DOS at the Fermi energy = 1.048 states/eV/atom
Total magnetic moment = 0.8 Bohr magnetons per cell
Volume = 16.463 Å³/atom
E_form = -0.02 eV per atom


[4]
Crystalline YCu2ReTc at its relaxed geometry. Source: Alexandria via LeMat-Bulk, functional PBE.

abc: 4.709 4.709 5.067
angles: 90.00 90.00 90.00
Atoms (fractional coordinates):
1 Y 0.000 0.000 0.000
2 Cu 0.000 0.500 0.500
3 Cu 0.500 0.000 0.500
4 Re 0.000 0.000 0.500
5 Tc 0.500 0.500 0.000

ρ = 7.39 g/cm³
DOS at the Fermi energy = 0.988 states/eV/atom
Total magnetic moment = 3.3 Bohr magnetons per cell
Volume = 22.467 Å³/atom
E_form = 1.59 eV per atom


[5]
Crystalline BaCuIr2 at its relaxed geometry. Source: Alexandria via LeMat-Bulk, functional PBE.

abc: 2.985 4.416 6.352
angles: 90.00 101.63 90.00
Atoms (fractional coordinates):
1 Ba 0.000 0.000 0.000
2 Cu 0.500 0.000 0.500
3 Ir 0.317 0.500 0.669
4 Ir 0.683 0.500 0.331

ρ = 11.85 g/cm³
DOS at the Fermi energy = 0.790 states/eV/atom
Total magnetic moment = 0.0 Bohr magnetons per cell
Energy relative to the lowest polymorph listed for this composition = 0.609 eV per atom
Volume = 20.505 Å³/atom
E_form = 0.47 eV per atom


[6]
Crystalline YBe3F at its relaxed geometry. Source: Alexandria via LeMat-Bulk, functional PBE.

abc: 4.190 4.190 4.190
angles: 90.00 90.00 90.00
Atoms (fractional coordinates):
1 Y 0.000 0.000 0.000
2 Be 0.000 0.500 0.500
3 Be 0.500 0.000 0.500
4 Be 0.500 0.500 0.000
5 F 0.500 0.500 0.500

Energy relative to the elements, uncorrected = 134 meV/atom
ρ = 3.05 g/cm³
DOS at the Fermi energy = 0.575 states/eV/atom
Total magnetic moment = 0.0 Bohr magnetons per cell
Energy relative to the lowest polymorph listed for this composition = 0.000 eV per atom
Volume = 14.715 Å³/atom


[7]
Crystalline La2Ge2Os at its relaxed geometry. Source: Alexandria via LeMat-Bulk, functional PBE.

abc: 6.925 6.925 4.684
angles: 90.00 90.00 90.00
Atoms (fractional coordinates):
1 La 0.177 0.323 0.000
2 La 0.323 0.823 0.000
3 La 0.677 0.177 0.000
4 La 0.823 0.677 0.000
5 Ge 0.133 0.633 0.500
6 Ge 0.367 0.133 0.500
7 Ge 0.633 0.867 0.500
8 Ge 0.867 0.367 0.500
9 Os 0.000 0.000 0.500
10 Os 0.500 0.500 0.500

ρ = 9.07 g/cm³
DOS at the Fermi energy = 0.292 states/eV/atom
Total magnetic moment = 0.0 Bohr magnetons per cell
Volume = 22.461 Å³/atom
E_form = -0.51 eV per atom


[8]
Crystalline AcTb2Tl at its relaxed geometry. Source: Alexandria via LeMat-Bulk, functional PBE.

abc: 5.266 5.266 17.898
angles: 90.00 90.00 120.00
Atoms (fractional coordinates):
1 Ac 0.000 0.000 0.000
2 Ac 0.333 0.667 0.667
3 Ac 0.667 0.333 0.333
4 Tb 0.000 0.000 0.550
5 Tb 0.000 0.000 0.784
6 Tb 0.333 0.667 0.217
7 Tb 0.333 0.667 0.451
8 Tb 0.667 0.333 0.118
9 Tb 0.667 0.333 0.884
10 Tl 0.000 0.000 0.203
11 Tl 0.333 0.667 0.870
12 Tl 0.667 0.333 0.536

ρ = 8.68 g/cm³
DOS at the Fermi energy = 1.346 states/eV/atom
Total magnetic moment = 0.0 Bohr magnetons per cell
Energy relative to the lowest polymorph listed for this composition = 0.207 eV per atom
Volume = 35.820 Å³/atom
E_form = 0.03 eV per atom